# Mg2SnP2 (PBE, optimized geometry)
# ΔE_f, eV/atom: -0.160
# Fermi-level density of states, states/eV per cell: 1.586
# V, Å³ per atom: 21.46
data_Mg2SnP2
_cell_length_a 4.186
_cell_length_b 4.186
_cell_length_c 12.249
_cell_angle_alpha 90.00
_cell_angle_beta 90.00
_cell_angle_gamma 90.00
_space_group_name_H-M_alt 'I 4/m m m'
_space_group_IT_number 139
_space_group_name_Hall '-I 4 2'
loop_
_atom_site_label
_atom_site_type_symbol
_atom_site_fract_x
_atom_site_fract_y
_atom_site_fract_z
_atom_site_occupancy
Mg1 Mg 0.000 0.500 0.250 1
Sn1 Sn 0.000 0.000 0.000 1
P1 P 0.000 0.000 0.374 1

---

# MgSn3P (PBE, optimized geometry)
# ΔE_f, eV/atom: 0.774
# Fermi-level density of states, states/eV per cell: 4.147
# V, Å³ per atom: 29.90
data_MgSn3P
_cell_length_a 5.307
_cell_length_b 5.307
_cell_length_c 5.307
_cell_angle_alpha 90.00
_cell_angle_beta 90.00
_cell_angle_gamma 90.00
_space_group_name_H-M_alt 'P m -3 m'
_space_group_IT_number 221
_space_group_name_Hall '-P 4 2 3'
loop_
_atom_site_label
_atom_site_type_symbol
_atom_site_fract_x
_atom_site_fract_y
_atom_site_fract_z
_atom_site_occupancy
Mg1 Mg 0.000 0.000 0.000 1
Sn1 Sn 0.000 0.000 0.500 1
P1 P 0.500 0.500 0.500 1

---

# MgSnP2 (PBE, optimized geometry)
# ΔE_f, eV/atom: 0.174
# Fermi-level density of states, states/eV per cell: 10.032
# V, Å³ per atom: 19.33
data_MgSnP2
_cell_length_a 6.763
_cell_length_b 6.763
_cell_length_c 6.763
_cell_angle_alpha 90.00
_cell_angle_beta 90.00
_cell_angle_gamma 90.00
_space_group_name_H-M_alt 'F m -3 m'
_space_group_IT_number 225
_space_group_name_Hall '-F 4 2 3'
loop_
_atom_site_label
_atom_site_type_symbol
_atom_site_fract_x
_atom_site_fract_y
_atom_site_fract_z
_atom_site_occupancy
Mg1 Mg 0.000 0.000 0.000 1
Sn1 Sn 0.000 0.000 0.500 1
P1 P 0.250 0.250 0.250 1

---

# Mg3SnP (PBE, optimized geometry)
# ΔE_f, eV/atom: 0.491
# Fermi-level density of states, states/eV per cell: 2.926
# V, Å³ per atom: 28.99
data_Mg3SnP
_cell_length_a 5.253
_cell_length_b 5.253
_cell_length_c 5.253
_cell_angle_alpha 90.00
_cell_angle_beta 90.00
_cell_angle_gamma 90.00
_space_group_name_H-M_alt 'P m -3 m'
_space_group_IT_number 221
_space_group_name_Hall '-P 4 2 3'
loop_
_atom_site_label
_atom_site_type_symbol
_atom_site_fract_x
_atom_site_fract_y
_atom_site_fract_z
_atom_site_occupancy
Mg1 Mg 0.000 0.000 0.500 1
Sn1 Sn 0.000 0.000 0.000 1
P1 P 0.500 0.500 0.500 1

---

# Mg3SnP (PBE, optimized geometry)
# ΔE_f, eV/atom: -0.167
# Fermi-level density of states, states/eV per cell: 4.389
# V, Å³ per atom: 23.64
data_Mg3SnP
_cell_length_a 4.907
_cell_length_b 4.907
_cell_length_c 4.907
_cell_angle_alpha 90.00
_cell_angle_beta 90.00
_cell_angle_gamma 90.00
_space_group_name_H-M_alt 'P m -3 m'
_space_group_IT_number 221
_space_group_name_Hall '-P 4 2 3'
loop_
_atom_site_label
_atom_site_type_symbol
_atom_site_fract_x
_atom_site_fract_y
_atom_site_fract_z
_atom_site_occupancy
Mg1 Mg 0.000 0.000 0.500 1
Sn1 Sn 0.500 0.500 0.500 1
P1 P 0.000 0.000 0.000 1

---

# MgSnP (PBE, optimized geometry)
# ΔE_f, eV/atom: -0.293
# Fermi-level density of states, states/eV per cell: 0.607
# V, Å³ per atom: 26.78
data_MgSnP
_cell_length_a 7.757
_cell_length_b 4.509
_cell_length_c 9.532
_cell_angle_alpha 90.00
_cell_angle_beta 105.45
_cell_angle_gamma 90.00
_space_group_name_H-M_alt 'C 1 2 1'
_space_group_IT_number 5
_space_group_name_Hall 'C 2y'
loop_
_atom_site_label
_atom_site_type_symbol
_atom_site_fract_x
_atom_site_fract_y
_atom_site_fract_z
_atom_site_occupancy
Mg1 Mg 0.154 0.000 0.375 1
Sn1 Sn 0.187 0.496 0.059 1
P1 P 0.192 0.000 0.666 1

---

# MgSnP (PBE, optimized geometry)
# ΔE_f, eV/atom: -0.277
# Fermi-level density of states, states/eV per cell: 1.084
# V, Å³ per atom: 25.18
data_MgSnP
_cell_length_a 3.9264
_cell_length_b 3.9264
_cell_length_c 33.9458
_cell_angle_alpha 90.00
_cell_angle_beta 90.00
_cell_angle_gamma 120.00
_space_group_name_H-M_alt 'R 3 m'
_space_group_IT_number 160
_space_group_name_Hall 'R 3 -2"'
loop_
_atom_site_label
_atom_site_type_symbol
_atom_site_fract_x
_atom_site_fract_y
_atom_site_fract_z
_atom_site_occupancy
Mg1 Mg 0.0000 0.0000 0.0000 1
Mg2 Mg 0.0000 0.0000 0.4039 1
Sn1 Sn 0.0000 0.0000 0.1362 1
Sn2 Sn 0.0000 0.0000 0.2210 1
P1 P 0.0000 0.0000 0.7004 1
P2 P 0.0000 0.0000 0.9235 1

---

# MgSn2P (PBE, optimized geometry)
# ΔE_f, eV/atom: 0.153
# Fermi-level density of states, states/eV per cell: 6.130
# V, Å³ per atom: 27.09
data_MgSn2P
_cell_length_a 3.6464
_cell_length_b 3.6464
_cell_length_c 28.2323
_cell_angle_alpha 90.00
_cell_angle_beta 90.00
_cell_angle_gamma 120.00
_space_group_name_H-M_alt 'R -3 m'
_space_group_IT_number 166
_space_group_name_Hall '-R 3 2"'
loop_
_atom_site_label
_atom_site_type_symbol
_atom_site_fract_x
_atom_site_fract_y
_atom_site_fract_z
_atom_site_occupancy
Mg1 Mg 0.0000 0.0000 0.0000 1
Sn1 Sn 0.0000 0.0000 0.1057 1
P1 P 0.0000 0.0000 0.5000 1

---

# Mg2SnP2 (PBE, optimized geometry)
# ΔE_f, eV/atom: -0.202
# Fermi-level density of states, states/eV per cell: 4.561
# V, Å³ per atom: 19.59
data_Mg2SnP2
_cell_length_a 7.632
_cell_length_b 7.632
_cell_length_c 3.363
_cell_angle_alpha 90.00
_cell_angle_beta 90.00
_cell_angle_gamma 90.00
_space_group_name_H-M_alt 'P 4/m b m'
_space_group_IT_number 127
_space_group_name_Hall '-P 4 2ab'
loop_
_atom_site_label
_atom_site_type_symbol
_atom_site_fract_x
_atom_site_fract_y
_atom_site_fract_z
_atom_site_occupancy
Mg1 Mg 0.139 0.361 0.000 1
Sn1 Sn 0.000 0.000 0.500 1
P1 P 0.162 0.662 0.500 1

---

# MgSnP (PBE, optimized geometry)
# ΔE_f, eV/atom: -0.287
# Fermi-level density of states, states/eV per cell: 0.350
# V, Å³ per atom: 26.47
data_MgSnP
_cell_length_a 7.788
_cell_length_b 4.473
_cell_length_c 9.118
_cell_angle_alpha 90.00
_cell_angle_beta 91.08
_cell_angle_gamma 90.00
_space_group_name_H-M_alt 'C 1 2 1'
_space_group_IT_number 5
_space_group_name_Hall 'C 2y'
loop_
_atom_site_label
_atom_site_type_symbol
_atom_site_fract_x
_atom_site_fract_y
_atom_site_fract_z
_atom_site_occupancy
Mg1 Mg 0.148 0.000 0.373 1
Sn1 Sn 0.166 0.876 0.939 1
P1 P 0.187 0.002 0.668 1

---

# Mg2SnP4 (PBE, optimized geometry)
# ΔE_f, eV/atom: 0.513
# Fermi-level density of states, states/eV per cell: 9.182
# V, Å³ per atom: 23.67
data_Mg2SnP4
_cell_length_a 4.929
_cell_length_b 4.929
_cell_length_c 13.638
_cell_angle_alpha 90.00
_cell_angle_beta 90.00
_cell_angle_gamma 90.00
_space_group_name_H-M_alt 'I 4/m m m'
_space_group_IT_number 139
_space_group_name_Hall '-I 4 2'
loop_
_atom_site_label
_atom_site_type_symbol
_atom_site_fract_x
_atom_site_fract_y
_atom_site_fract_z
_atom_site_occupancy
Mg1 Mg 0.000 0.000 0.107 1
Sn1 Sn 0.000 0.000 0.500 1
P1 P 0.000 0.000 0.287 1
P2 P 0.000 0.500 0.000 1

---

# MgSn3P (PBE, optimized geometry)
# ΔE_f, eV/atom: 0.386
# Fermi-level density of states, states/eV per cell: 3.497
# V, Å³ per atom: 29.53
data_MgSn3P
_cell_length_a 5.285
_cell_length_b 5.285
_cell_length_c 5.285
_cell_angle_alpha 90.00
_cell_angle_beta 90.00
_cell_angle_gamma 90.00
_space_group_name_H-M_alt 'P m -3 m'
_space_group_IT_number 221
_space_group_name_Hall '-P 4 2 3'
loop_
_atom_site_label
_atom_site_type_symbol
_atom_site_fract_x
_atom_site_fract_y
_atom_site_fract_z
_atom_site_occupancy
Mg1 Mg 0.000 0.000 0.000 1
Sn1 Sn 0.000 0.500 0.500 1
P1 P 0.500 0.500 0.500 1

---

# MgSnP2 (PBE, optimized geometry)
# ΔE_f, eV/atom: 0.184
# Fermi-level density of states, states/eV per cell: 8.212
# V, Å³ per atom: 26.08
data_MgSnP2
_cell_length_a 3.9670
_cell_length_b 3.9670
_cell_length_c 22.9638
_cell_angle_alpha 90.00
_cell_angle_beta 90.00
_cell_angle_gamma 120.00
_space_group_name_H-M_alt 'R -3 m'
_space_group_IT_number 166
_space_group_name_Hall '-R 3 2"'
loop_
_atom_site_label
_atom_site_type_symbol
_atom_site_fract_x
_atom_site_fract_y
_atom_site_fract_z
_atom_site_occupancy
Mg1 Mg 0.0000 0.0000 0.0000 1
Sn1 Sn 0.0000 0.0000 0.5000 1
P1 P 0.0000 0.0000 0.1056 1

---

| no. | total moment (μB/atom) |
| --- | --- |
| 1 | 0.0000 |
| 2 | 0.0000 |
| 3 | 0.0000 |
| 4 | 0.1987 |
| 5 | 0.0000 |
| 6 | 0.0000 |
| 7 | 0.0000 |
| 8 | 0.0000 |
| 9 | 0.0000 |
| 10 | 0.0000 |
| 11 | 0.0000 |
| 12 | 0.0000 |
| 13 | 0.0000 |